{
  "formula": "Sc2FeGeO6",
  "functional": "PBE+U",
  "state": "optimized geometry",
  "vol_a3_per_atom": 11.21,
  "final_energy_ev_per_atom": -7.782,
  "sg": "P1 (1)",
  "density_g_cm3": 4.7,
  "crystal_system": "triclinic",
  "magmom_total_mub_per_atom": 0.40,
  "lattice_angstrom": [[5.2417, 0.0000, 0.0000], [-2.5955, 4.5659, 0.0000], [-0.0848, -2.9734, 4.6853]],
  "species": ["Sc", "Sc", "Fe", "Ge", "O", "O", "O", "O", "O", "O"],
  "fractional_positions": [[0.0000, 0.0000, 0.0000], [0.4932, 0.9875, 0.4873], [0.2790, 0.5565, 0.8466], [0.7904, 0.5803, 0.3785], [0.0544, 0.4784, 0.1848], [0.1662, 0.0458, 0.6545], [0.4276, 0.1245, 0.1846], [0.6004, 0.7640, 0.6574], [0.6872, 0.7472, 0.1759], [0.8884, 0.4807, 0.6642]]
}